(1)
## NdY2In3Se6 (PBE-GGA)

Data for NdY2In3Se6 after structural relaxation.

Cell: 7.2731 7.2731 8.1009 Å, 98.61 98.61 119.98°
Sites, in units of the cell vectors:
Nd 0.0000 0.0000 0.0000
Y 0.3333 0.6667 0.0000
Y 0.6667 0.3333 0.0000
In 0.1653 0.8347 0.5000
In 0.5000 0.5000 0.5000
In 0.8347 0.1653 0.5000
Se 0.0706 0.4120 0.2119
Se 0.2714 0.2714 0.7903
Se 0.4120 0.0706 0.2119
Se 0.5880 0.9294 0.7881
Se 0.7286 0.7286 0.2097
Se 0.9294 0.5880 0.7881

Energy relative to the elements, uncorrected ... -15.62 eV/f.u.
Space-group type ... C2/m
Total magnetization ... 0.00 μB/cell


(2)
## LiY2Ho (PBE-GGA)

Data for LiY2Ho after structural relaxation.

Cell: 3.5265 3.5265 33.4215 Å, 90.00 90.00 120.00°
Sites, in units of the cell vectors:
Li 0.0000 0.0000 0.0000
Li 0.3333 0.6667 0.6667
Li 0.6667 0.3333 0.3333
Y 0.0000 0.0000 0.4153
Y 0.0000 0.0000 0.5850
Y 0.3333 0.6667 0.0819
Y 0.3333 0.6667 0.2517
Y 0.6667 0.3333 0.7486
Y 0.6667 0.3333 0.9183
Ho 0.0000 0.0000 0.8335
Ho 0.3333 0.6667 0.5002
Ho 0.6667 0.3333 0.1669

Space-group type ... R3m
Energy above the most stable polymorph in this dataset ... 3.2 kJ per mole of atoms
Total magnetization ... 0.00 μB/cell
Formation energy ... 0.10 eV/atom


(3)
## Mg2CdCl (PBE-GGA)

Data for Mg2CdCl after structural relaxation.

Cell: 3.2204 5.5494 10.5272 Å, 90.00 90.00 90.00°
Sites, in units of the cell vectors:
Mg 0.0000 0.0000 0.0000
Mg 0.0000 0.5000 0.2460
Mg 0.5000 0.0000 0.7460
Mg 0.5000 0.5000 0.5000
Cd 0.0000 0.0000 0.4809
Cd 0.5000 0.5000 0.9809
Cl 0.0000 0.5000 0.6862
Cl 0.5000 0.0000 0.1862

Energy relative to the elements, uncorrected ... -1.52 eV/f.u.
Space-group type ... Imm2
Energy above the most stable polymorph in this dataset ... 18.3 kJ per mole of atoms
Total magnetization ... 0.00 μB/cell


(4)
## Ba3Hg6BiPb2 (PBE-GGA)

Data for Ba3Hg6BiPb2 after structural relaxation.

Cell: 6.2048 6.2048 11.9029 Å, 90.00 90.00 120.00°
Sites, in units of the cell vectors:
Ba 0.0000 0.0000 0.0000
Ba 0.3333 0.6667 0.6001
Ba 0.6667 0.3333 0.3999
Hg 0.1709 0.3419 0.2482
Hg 0.1709 0.8291 0.2482
Hg 0.3419 0.1709 0.7518
Hg 0.6581 0.8291 0.2482
Hg 0.8291 0.1709 0.7518
Hg 0.8291 0.6581 0.7518
Bi 0.0000 0.0000 0.5000
Pb 0.3333 0.6667 0.9235
Pb 0.6667 0.3333 0.0765

Space-group type ... P-3m1
Total magnetization ... 0.00 μB/cell
Formation energy ... -0.34 eV/atom


(5)
## CdCoAgC2 (PBE-GGA)

Data for CdCoAgC2 after structural relaxation.

Cell: 4.2243 4.2243 4.9406 Å, 90.00 90.00 90.00°
Sites, in units of the cell vectors:
Cd 0.0000 0.0000 0.0000
Co 0.0000 0.0000 0.5000
Ag 0.5000 0.5000 0.5000
C 0.0000 0.5000 0.0000
C 0.5000 0.0000 0.0000

Space-group type ... P4/mmm
Total magnetization ... 1.57 μB/cell
Formation energy ... 2.76 eV/atom


(6)
## Np4CoGe8 (PBE-GGA)

Data for Np4CoGe8 after structural relaxation.

Cell: 4.0087 4.1589 15.5629 Å, 90.00 90.00 90.00°
Sites, in units of the cell vectors:
Np 0.0000 0.0000 0.0000
Np 0.0000 0.5000 0.4944
Np 0.5000 0.0000 0.7941
Np 0.5000 0.5000 0.2908
Co 0.0000 0.5000 0.7062
Ge 0.0000 0.0000 0.3329
Ge 0.0000 0.0000 0.6338
Ge 0.0000 0.5000 0.1456
Ge 0.0000 0.5000 0.8546
Ge 0.5000 0.0000 0.1462
Ge 0.5000 0.0000 0.4462
Ge 0.5000 0.5000 0.6316
Ge 0.5000 0.5000 0.9625

Space-group type ... Pmm2
Total magnetization ... 7.05 μB/cell
Formation energy ... -0.17 eV/atom


Taking the records one at a time from the top gives VASP energy values of -62.44 -57.12 -14.94 -22.95 -15.54 -98.03 eV per cell.